(1)
DFT (PBE) results for a geometry-optimized NpInTe2 structure.

- raw total energy (Ha/atom) = -0.2193
- DOS at the Fermi energy (states/eV per atom) = 2.80
- space-group type = R-3m, No. 166
- total moment (μB per atom) = 1.00

abc: 4.420 4.420 8.570
angles: 75.05 75.05 60.00
Each line ends with the local moment (μB).
Element x y z (fractional)
Np 0.000 0.000 0.000  -4.00
Te 0.260 0.260 0.220  0.08
Te 0.740 0.740 0.780  0.08
In 0.500 0.500 0.500  0.02

=====

(2)
DFT (PBE) results for a geometry-optimized Tb7Ho12Th structure.

- raw total energy (Ha/atom) = -0.1652
- DOS at the Fermi energy (states/eV per atom) = 2.06
- space-group type = R-3, No. 148
- relative energy among the computed polymorphs (meV/atom) = 0
- total moment (μB per atom) = 0.00

abc: 8.670 8.670 8.670
angles: 89.07 89.07 89.07
Element x y z (fractional)
Tb 0.844 0.619 0.952
Tb 0.156 0.381 0.048
Tb 0.952 0.844 0.619
Tb 0.500 0.500 0.500
Tb 0.381 0.048 0.156
Tb 0.619 0.952 0.844
Tb 0.048 0.156 0.381
Ho 0.854 0.498 0.381
Ho 0.381 0.854 0.498
Ho 0.283 0.742 0.864
Ho 0.717 0.258 0.136
Ho 0.498 0.381 0.854
Ho 0.136 0.717 0.258
Ho 0.502 0.619 0.146
Ho 0.619 0.146 0.502
Ho 0.864 0.283 0.742
Ho 0.146 0.502 0.619
Ho 0.258 0.136 0.717
Ho 0.742 0.864 0.283
Th 0.000 0.000 0.000